Entry i
First-principles (PBE) data for a relaxed structure of BaZr2Os, as listed in Alexandria via LeMat-Bulk. Values from VASP.

The structure in Quantum ESPRESSO input format:
```
&SYSTEM
  ibrav = 0, nat = 4, ntyp = 3
/
ATOMIC_SPECIES
Ba 137.33 Ba.upf
Zr 91.22 Zr.upf
Os 190.23 Os.upf
CELL_PARAMETERS angstrom
3.7283 -2.1445 0.0000
3.7283 2.1445 0.0000
-2.4465 0.0000 7.4272
ATOMIC_POSITIONS angstrom
Ba 0.0000 0.0000 0.0000
Zr 0.0195 0.0000 4.7224
Zr 4.9906 0.0000 2.7048
Os 2.5051 0.0000 3.7136
```

Values from the calculation:
V in Å³ per cell: 119



Entry ii
First-principles (PBE) data for a relaxed structure of BaZr2Os, as listed in Alexandria via LeMat-Bulk. Values from VASP.

The structure in Quantum ESPRESSO input format:
```
&SYSTEM
  ibrav = 0, nat = 4, ntyp = 3
/
ATOMIC_SPECIES
Ba 137.33 Ba.upf
Zr 91.22 Zr.upf
Os 190.23 Os.upf
CELL_PARAMETERS angstrom
3.3858 0.0000 0.0000
0.0000 4.2080 0.0000
-0.0009 0.0000 7.7534
ATOMIC_POSITIONS angstrom
Ba 0.0000 0.0000 0.0000
Zr 1.6055 2.1040 5.0579
Zr 3.2952 0.0000 3.3528
Os 1.6111 2.1040 2.5801
```

Values from the calculation:
V in Å³ per cell: 110



Quick one: least stable of them? entry ii



Entry i
First-principles (PBE) data for a relaxed structure of BaZr2Os, as listed in Alexandria via LeMat-Bulk. Values from VASP.

The structure in Quantum ESPRESSO input format:
```
&SYSTEM
  ibrav = 0, nat = 4, ntyp = 3
/
ATOMIC_SPECIES
Ba 137.33 Ba.upf
Zr 91.22 Zr.upf
Os 190.23 Os.upf
CELL_PARAMETERS angstrom
3.1325 -4.7179 0.0000
3.1325 4.7179 0.0000
-1.0641 0.0000 3.0338
ATOMIC_POSITIONS angstrom
Ba 0.0000 0.0000 0.0000
Zr 1.0342 2.3590 1.5169
Zr 1.0342 -2.3590 1.5169
Os 3.1325 0.0000 0.0000
```

Values from the calculation:
V in Å³ per cell: 90



Entry ii
First-principles (PBE) data for a relaxed structure of BaZr2Os, as listed in Alexandria via LeMat-Bulk. Values from VASP.

The structure in Quantum ESPRESSO input format:
```
&SYSTEM
  ibrav = 0, nat = 4, ntyp = 3
/
ATOMIC_SPECIES
Ba 137.33 Ba.upf
Zr 91.22 Zr.upf
Os 190.23 Os.upf
CELL_PARAMETERS angstrom
-1.6621 2.9225 5.4473
1.6621 -2.9225 5.4473
1.6621 2.9225 -5.4473
ATOMIC_POSITIONS angstrom
Ba 0.0000 0.0000 0.0000
Zr 1.6621 0.0000 3.3556
Zr 0.0000 2.9225 2.0918
Os 0.0000 0.0000 5.4473
```

Values from the calculation:
V in Å³ per cell: 106



Entry iii
First-principles (PBE) data for a relaxed structure of BaZr2Os, as listed in Alexandria via LeMat-Bulk. Values from VASP.

The structure in Quantum ESPRESSO input format:
```
&SYSTEM
  ibrav = 0, nat = 4, ntyp = 3
/
ATOMIC_SPECIES
Ba 137.33 Ba.upf
Zr 91.22 Zr.upf
Os 190.23 Os.upf
CELL_PARAMETERS angstrom
0.0000 3.5354 3.5354
3.5354 0.0000 3.5354
3.5354 3.5354 0.0000
ATOMIC_POSITIONS angstrom
Ba 0.0000 0.0000 0.0000
Zr 1.7677 1.7677 1.7677
Zr 5.3032 5.3032 5.3032
Os 3.5354 3.5354 3.5354
```

Values from the calculation:
V in Å³ per cell: 88



Entry iv
First-principles (PBE) data for a relaxed structure of BaZr2Os, as listed in Alexandria via LeMat-Bulk. Values from VASP.

The structure in Quantum ESPRESSO input format:
```
&SYSTEM
  ibrav = 0, nat = 4, ntyp = 3
/
ATOMIC_SPECIES
Ba 137.33 Ba.upf
Zr 91.22 Zr.upf
Os 190.23 Os.upf
CELL_PARAMETERS angstrom
-1.6961 2.2445 7.7488
1.6961 -2.2445 7.7488
1.6961 2.2445 -7.7488
ATOMIC_POSITIONS angstrom
Ba 0.0000 0.0000 0.0000
Zr 0.0000 0.0000 5.0262
Zr 0.0000 2.2445 2.9116
Os 1.6961 0.0000 3.0495
```

Values from the calculation:
V in Å³ per cell: 118



Quick one: least stable of them? entry i



Entry i
First-principles (PBE) data for a relaxed structure of BaZr2Os, as listed in Alexandria via LeMat-Bulk. Values from VASP.

The structure in Quantum ESPRESSO input format:
```
&SYSTEM
  ibrav = 0, nat = 4, ntyp = 3
/
ATOMIC_SPECIES
Ba 137.33 Ba.upf
Zr 91.22 Zr.upf
Os 190.23 Os.upf
CELL_PARAMETERS angstrom
-2.1045 2.1045 5.1579
2.1045 -2.1045 5.1579
2.1045 2.1045 -5.1579
ATOMIC_POSITIONS angstrom
Ba 0.0000 0.0000 0.0000
Zr 0.0000 0.0000 5.1579
Zr 0.0000 2.1045 2.5789
Os 2.1045 0.0000 2.5789
```

Values from the calculation:
V in Å³ per cell: 91



Entry ii
First-principles (PBE) data for a relaxed structure of BaZr2Os, as listed in Alexandria via LeMat-Bulk. Values from VASP.

The structure in Quantum ESPRESSO input format:
```
&SYSTEM
  ibrav = 0, nat = 4, ntyp = 3
/
ATOMIC_SPECIES
Ba 137.33 Ba.upf
Zr 91.22 Zr.upf
Os 190.23 Os.upf
CELL_PARAMETERS angstrom
3.4543 0.0000 0.0000
0.0000 4.9308 0.0000
0.0000 0.0000 5.3854
ATOMIC_POSITIONS angstrom
Ba 0.0000 0.0000 0.0000
Zr 0.0000 2.4654 2.6927
Zr 1.7271 2.4654 0.0000
Os 1.7271 0.0000 2.6927
```

Values from the calculation:
V in Å³ per cell: 92



Quick one: least stable of them? entry i



Entry i
First-principles (PBE) data for a relaxed structure of BaZr2Os, as listed in Alexandria via LeMat-Bulk. Values from VASP.

The structure in Quantum ESPRESSO input format:
```
&SYSTEM
  ibrav = 0, nat = 4, ntyp = 3
/
ATOMIC_SPECIES
Ba 137.33 Ba.upf
Zr 91.22 Zr.upf
Os 190.23 Os.upf
CELL_PARAMETERS angstrom
3.5843 -3.5887 0.0000
3.5843 3.5887 0.0000
0.0000 0.0000 3.4069
ATOMIC_POSITIONS angstrom
Ba 0.0000 0.0000 0.0000
Zr 1.7921 1.7943 1.7034
Zr 1.7921 -1.7943 1.7034
Os 3.5843 0.0000 0.0000
```

Values from the calculation:
V in Å³ per cell: 88



Entry ii
First-principles (PBE) data for a relaxed structure of BaZr2Os, as listed in Alexandria via LeMat-Bulk. Values from VASP.

The structure in Quantum ESPRESSO input format:
```
&SYSTEM
  ibrav = 0, nat = 4, ntyp = 3
/
ATOMIC_SPECIES
Ba 137.33 Ba.upf
Zr 91.22 Zr.upf
Os 190.23 Os.upf
CELL_PARAMETERS angstrom
0.0000 3.5950 3.5950
3.5950 0.0000 3.5950
3.5950 3.5950 0.0000
ATOMIC_POSITIONS angstrom
Ba 0.0000 0.0000 0.0000
Zr 3.5950 3.5950 3.5950
Zr 5.3925 5.3925 5.3925
Os 1.7975 1.7975 1.7975
```

Values from the calculation:
V in Å³ per cell: 93



Entry iii
First-principles (PBE) data for a relaxed structure of BaZr2Os, as listed in Alexandria via LeMat-Bulk. Values from VASP.

The structure in Quantum ESPRESSO input format:
```
&SYSTEM
  ibrav = 0, nat = 4, ntyp = 3
/
ATOMIC_SPECIES
Ba 137.33 Ba.upf
Zr 91.22 Zr.upf
Os 190.23 Os.upf
CELL_PARAMETERS angstrom
3.4267 0.0000 0.0000
0.0000 3.4267 0.0000
0.0000 0.0000 8.8224
ATOMIC_POSITIONS angstrom
Ba 0.0000 0.0000 0.0000
Zr 0.0000 0.0000 3.6674
Zr 1.7133 1.7133 5.5840
Os 1.7133 1.7133 2.3814
```

Values from the calculation:
V in Å³ per cell: 104



Quick one: least stable of them? entry ii



Entry i
First-principles (PBE) data for a relaxed structure of BaP5, as listed in Alexandria via LeMat-Bulk. Values from VASP.

The structure in Quantum ESPRESSO input format:
```
&SYSTEM
  ibrav = 0, nat = 6, ntyp = 2
/
ATOMIC_SPECIES
Ba 137.33 Ba.upf
P 30.97 P.upf
CELL_PARAMETERS angstrom
5.8151 -2.2120 0.0000
5.8151 2.2120 0.0000
-1.7368 0.0000 5.4548
ATOMIC_POSITIONS angstrom
Ba 0.0000 0.0000 0.0000
P 1.5526 0.0000 4.8161
P 3.0511 0.0000 1.5659
P 7.1323 0.0000 2.1996
P 6.5635 0.0000 4.3267
P 9.3194 0.0000 2.2489
```

Values from the calculation:
V in Å³ per cell: 140



Entry ii
First-principles (PBE) data for a relaxed structure of BaP5, as listed in Alexandria via LeMat-Bulk. Values from VASP.

The structure in Quantum ESPRESSO input format:
```
&SYSTEM
  ibrav = 0, nat = 6, ntyp = 2
/
ATOMIC_SPECIES
Ba 137.33 Ba.upf
P 30.97 P.upf
CELL_PARAMETERS angstrom
3.4186 0.0000 0.0000
0.0000 3.4186 0.0000
0.0000 0.0000 9.7921
ATOMIC_POSITIONS angstrom
Ba 0.0000 0.0000 0.0000
P 0.0000 0.0000 3.1302
P 0.0000 0.0000 6.6618
P 1.7093 1.7093 2.4235
P 1.7093 1.7093 4.8960
P 1.7093 1.7093 7.3686
```

Values from the calculation:
V in Å³ per cell: 114



Entry iii
First-principles (PBE) data for a relaxed structure of BaP5, as listed in Alexandria via LeMat-Bulk. Values from VASP.

The structure in Quantum ESPRESSO input format:
```
&SYSTEM
  ibrav = 0, nat = 6, ntyp = 2
/
ATOMIC_SPECIES
Ba 137.33 Ba.upf
P 30.97 P.upf
CELL_PARAMETERS angstrom
6.1919 0.0000 0.0000
-3.0959 5.3623 0.0000
0.0000 0.0000 3.4786
ATOMIC_POSITIONS angstrom
Ba 0.0000 0.0000 0.0000
P -1.4822 2.5672 1.7393
P 0.0000 3.5749 0.0000
P 2.9643 0.0000 1.7393
P 1.6138 2.7952 1.7393
P 3.0960 1.7874 0.0000
```

Values from the calculation:
V in Å³ per cell: 116



Quick one: least stable of them? entry ii



Entry i
First-principles (PBE) data for a relaxed structure of Ba5P4, as listed in Alexandria via LeMat-Bulk. Values from VASP.

The structure in Quantum ESPRESSO input format:
```
&SYSTEM
  ibrav = 0, nat = 9, ntyp = 2
/
ATOMIC_SPECIES
Ba 137.33 Ba.upf
P 30.97 P.upf
CELL_PARAMETERS angstrom
-5.4662 5.4662 2.7853
5.4662 -5.4662 2.7853
5.4662 5.4662 -2.7853
ATOMIC_POSITIONS angstrom
Ba 0.0000 0.0000 0.0000
Ba 3.3977 3.3977 0.0000
Ba 2.0685 -2.0685 2.7853
Ba -2.0685 2.0685 2.7853
Ba 2.0685 2.0685 2.7853
P 2.9081 0.0000 0.0000
P 8.0244 0.0000 0.0000
P 0.0000 2.9081 0.0000
P 0.0000 8.0244 0.0000
```

Values from the calculation:
V in Å³ per cell: 333



Entry ii
First-principles (PBE) data for a relaxed structure of Ba5P4, as listed in Alexandria via LeMat-Bulk. Values from VASP.

The structure in Quantum ESPRESSO input format:
```
&SYSTEM
  ibrav = 0, nat = 36, ntyp = 2
/
ATOMIC_SPECIES
Ba 137.33 Ba.upf
P 30.97 P.upf
CELL_PARAMETERS angstrom
8.4350 0.0000 0.0000
0.0000 16.7459 0.0000
0.0000 0.0000 8.5204
ATOMIC_POSITIONS angstrom
Ba 0.6240 1.7188 1.4124
Ba 0.6240 6.6542 1.4124
Ba 0.7733 10.0920 2.9187
Ba 0.7733 15.0268 2.9187
Ba 2.0738 4.1865 4.3027
Ba 2.1437 12.5594 0.0425
Ba 3.4442 1.7190 7.1789
Ba 3.4442 6.6539 7.1789
Ba 3.5935 10.0917 5.6726
Ba 3.5935 15.0271 5.6726
Ba 4.8415 1.7188 2.8478
Ba 4.8415 6.6542 2.8478
Ba 4.9908 10.0920 1.3415
Ba 4.9908 15.0268 1.3415
Ba 6.2913 4.1865 8.4779
Ba 6.3612 12.5594 4.2177
Ba 7.6616 1.7190 5.6016
Ba 7.6616 6.6539 5.6016
Ba 7.8110 10.0917 7.1080
Ba 7.8110 15.0271 7.1080
P 1.2433 4.1865 7.7666
P 1.3338 12.5594 5.1219
P 2.0794 0.8944 4.3164
P 2.0794 7.4785 4.3164
P 2.1381 9.2674 0.0563
P 2.1381 15.8514 0.0563
P 2.8837 4.1865 0.8617
P 2.9742 12.5594 3.5064
P 5.4608 4.1865 5.0140
P 5.5513 12.5594 7.6587
P 6.2969 0.8944 8.4641
P 6.2969 7.4785 8.4641
P 6.3556 9.2674 4.2039
P 6.3556 15.8514 4.2039
P 7.1012 4.1865 3.3985
P 7.1917 12.5594 0.7538
```

Values from the calculation:
V in Å³ per cell: 1204



Quick one: least stable of them? entry i



Entry i
First-principles (PBE) data for a relaxed structure of Ba3P4, as listed in Alexandria via LeMat-Bulk. Values from VASP.

The structure in Quantum ESPRESSO input format:
```
&SYSTEM
  ibrav = 0, nat = 14, ntyp = 2
/
ATOMIC_SPECIES
Ba 137.33 Ba.upf
P 30.97 P.upf
CELL_PARAMETERS angstrom
0.0000 9.2118 3.1193
7.5058 0.0000 3.1193
7.5058 9.2118 0.0000
ATOMIC_POSITIONS angstrom
Ba 0.0000 0.0000 0.0000
Ba 3.7529 4.6059 1.5596
Ba 7.5729 6.1074 3.1314
Ba 11.1915 10.7133 4.6911
Ba 7.4386 12.3163 3.1314
Ba 11.3258 16.9222 4.6911
P 9.8042 10.6079 1.6722
P 6.0513 3.2099 3.2318
P 5.2073 7.8158 1.6722
P 8.6756 9.2651 3.0635
P 6.3360 9.1585 3.0635
P 12.4285 13.7645 4.6232
P 8.9602 15.2138 3.2318
P 10.0889 13.8711 4.6232
```

Values from the calculation:
V in Å³ per cell: 431



Entry ii
First-principles (PBE) data for a relaxed structure of Ba3P4, as listed in Alexandria via LeMat-Bulk. Values from VASP.

The structure in Quantum ESPRESSO input format:
```
&SYSTEM
  ibrav = 0, nat = 7, ntyp = 2
/
ATOMIC_SPECIES
Ba 137.33 Ba.upf
P 30.97 P.upf
CELL_PARAMETERS angstrom
8.2856 0.0000 0.0000
-4.1428 7.1756 0.0000
0.0000 0.0000 4.3416
ATOMIC_POSITIONS angstrom
Ba -2.0714 3.5878 0.0000
Ba 4.1428 0.0000 0.0000
Ba 2.0714 3.5878 0.0000
P 0.0000 0.0000 1.0744
P 0.0000 0.0000 3.2672
P 0.0000 4.7837 2.1708
P 4.1428 2.3918 2.1708
```

Values from the calculation:
V in Å³ per cell: 258



Quick one: least stable of them? entry ii



Entry i
First-principles (PBE) data for a relaxed structure of Ba5P3, as listed in Alexandria via LeMat-Bulk. Values from VASP.

The structure in Quantum ESPRESSO input format:
```
&SYSTEM
  ibrav = 0, nat = 16, ntyp = 2
/
ATOMIC_SPECIES
Ba 137.33 Ba.upf
P 30.97 P.upf
CELL_PARAMETERS angstrom
3.9388 -8.6970 0.0000
3.9388 8.6970 0.0000
-2.2864 0.0000 8.5195
ATOMIC_POSITIONS angstrom
Ba 0.6569 5.3060 6.7391
Ba 0.6235 1.8593 5.1309
Ba 2.1084 0.0000 0.2894
Ba 0.6235 -1.8593 5.1309
Ba 4.9343 5.3060 1.7803
Ba 0.6569 -5.3060 6.7391
Ba 4.9678 1.8593 3.3886
Ba 3.4828 0.0000 8.2301
Ba 4.9678 -1.8593 3.3886
Ba 4.9343 -5.3060 1.7803
P -0.3032 0.0000 2.3350
P 2.7956 4.3128 4.2597
P 3.9388 2.7401 0.0000
P 3.9388 -2.7401 0.0000
P 2.7956 -4.3128 4.2597
P 5.8944 0.0000 6.1845
```

Values from the calculation:
V in Å³ per cell: 584



Entry ii
First-principles (PBE) data for a relaxed structure of Ba5P3, as listed in Alexandria via LeMat-Bulk. Values from VASP.

The structure in Quantum ESPRESSO input format:
```
&SYSTEM
  ibrav = 0, nat = 16, ntyp = 2
/
ATOMIC_SPECIES
Ba 137.33 Ba.upf
P 30.97 P.upf
CELL_PARAMETERS angstrom
9.3136 0.0000 0.0000
-4.6568 8.0658 0.0000
0.0000 0.0000 7.7679
ATOMIC_POSITIONS angstrom
Ba -1.2038 2.0850 1.9420
Ba -3.4530 5.9808 5.8260
Ba 2.4076 0.0000 1.9420
Ba 1.2038 2.0850 5.8260
Ba 0.0000 5.3772 0.0000
Ba 0.0000 5.3772 3.8840
Ba 4.6568 2.6886 0.0000
Ba 4.6568 2.6886 3.8840
Ba 6.9060 0.0000 5.8260
Ba 3.4530 5.9808 1.9420
P -1.8355 3.1792 5.8260
P -2.8213 4.8866 1.9420
P 3.6710 0.0000 5.8260
P 1.8355 3.1792 1.9420
P 5.6426 0.0000 1.9420
P 2.8213 4.8866 5.8260
```

Values from the calculation:
V in Å³ per cell: 584



Quick one: least stable of them? entry i



Entry i
First-principles (PBE) data for a relaxed structure of BaP2PbS, as listed in Alexandria via LeMat-Bulk. Values from VASP.

The structure in Quantum ESPRESSO input format:
```
&SYSTEM
  ibrav = 0, nat = 5, ntyp = 4
/
ATOMIC_SPECIES
Ba 137.33 Ba.upf
P 30.97 P.upf
Pb 207.20 Pb.upf
S 32.06 S.upf
CELL_PARAMETERS angstrom
5.2339 0.0000 0.0000
0.0000 5.2339 0.0000
0.0000 0.0000 5.4167
ATOMIC_POSITIONS angstrom
Ba 0.0000 0.0000 0.0000
P 0.0000 2.6170 2.7084
P 2.6170 0.0000 2.7084
Pb 2.6170 2.6170 2.7084
S 2.6170 2.6170 0.0000
```

Values from the calculation:
V in Å³ per cell: 148



Entry ii
First-principles (PBE) data for a relaxed structure of BaP2PbS, as listed in Alexandria via LeMat-Bulk. Values from VASP.

The structure in Quantum ESPRESSO input format:
```
&SYSTEM
  ibrav = 0, nat = 5, ntyp = 4
/
ATOMIC_SPECIES
Ba 137.33 Ba.upf
P 30.97 P.upf
Pb 207.20 Pb.upf
S 32.06 S.upf
CELL_PARAMETERS angstrom
5.5235 0.0000 0.0000
0.0000 5.5235 0.0000
0.0000 0.0000 5.6515
ATOMIC_POSITIONS angstrom
Ba 0.0000 0.0000 0.0000
P 0.0000 2.7617 0.0000
P 2.7617 0.0000 0.0000
Pb 2.7617 2.7617 2.8257
S 0.0000 0.0000 2.8257
```

Values from the calculation:
V in Å³ per cell: 172



Quick one: least stable of them? entry ii